[1]
Entry from Alexandria: a geometry-optimized Cu2HgAuN structure (GGA-PBE).

Output
- calculated total energy (eV per formula unit) = -18.03
- SG = No. 123
- mass density (g/cm³) = 11.36
- formation energy (no corrections) (eV per atom) = 0.41

abc: 3.8525 3.8525 5.3073
angles: 90.00 90.00 90.00
Fractional coordinates of all 5 atoms:
Cu: 0.0000 0.5000 0.0000
Cu: 0.5000 0.0000 0.0000
Hg: 0.0000 0.0000 0.5000
Au: 0.5000 0.5000 0.5000
N: 0.5000 0.5000 0.0000

***

[2]
Entry from Alexandria: a geometry-optimized Mo4Pt structure (GGA-PBE).

Output
- calculated total energy (eV per formula unit) = -42.36
- SG = No. 229
- formation energy (eV per formula unit) = 7.0
- mass density (g/cm³) = 9.70

abc: 5.8308 5.8308 5.8308
angles: 90.00 90.00 90.00
Fractional coordinates of all 10 atoms:
Mo: 0.2500 0.2500 0.2500
Mo: 0.2500 0.2500 0.7500
Mo: 0.2500 0.7500 0.2500
Mo: 0.2500 0.7500 0.7500
Mo: 0.7500 0.2500 0.2500
Mo: 0.7500 0.2500 0.7500
Mo: 0.7500 0.7500 0.2500
Mo: 0.7500 0.7500 0.7500
Pt: 0.0000 0.0000 0.0000
Pt: 0.5000 0.5000 0.5000

***

[3]
Entry from Alexandria: a geometry-optimized ScTi2SiRh structure (GGA-PBE).

Output
- calculated total energy (eV per formula unit) = -33.81
- SG = No. 123
- mass density (g/cm³) = 4.23
- formation energy (no corrections) (eV per atom) = 0.22

abc: 4.6436 4.6436 4.9502
angles: 90.00 90.00 90.00
Fractional coordinates of all 5 atoms:
Sc: 0.0000 0.0000 0.0000
Ti: 0.0000 0.5000 0.5000
Ti: 0.5000 0.0000 0.5000
Si: 0.5000 0.5000 0.0000
Rh: 0.0000 0.0000 0.5000

***

[4]
Entry from Alexandria: a geometry-optimized PrSnSbRh3 structure (GGA-PBE).

Output
- calculated total energy (eV per formula unit) = -37.99
- SG = No. 63
- mass density (g/cm³) = 8.14
- formation energy (no corrections) (eV per atom) = -0.50

abc: 8.8566 8.8566 5.8049
angles: 90.00 90.00 141.78
Fractional coordinates of all 12 atoms:
Pr: 0.2190 0.7810 0.7500
Pr: 0.7810 0.2190 0.2500
Sn: 0.0989 0.9011 0.2500
Sn: 0.9011 0.0989 0.7500
Sb: 0.4079 0.5921 0.2500
Sb: 0.5921 0.4079 0.7500
Rh: 0.2469 0.2469 0.0000
Rh: 0.2469 0.2469 0.5000
Rh: 0.2542 0.7458 0.2500
Rh: 0.7458 0.2542 0.7500
Rh: 0.7531 0.7531 0.0000
Rh: 0.7531 0.7531 0.5000

***

[5]
Entry from Alexandria: a geometry-optimized NiTeBr2 structure (GGA-PBE).

Output
- calculated total energy (eV per formula unit) = -13.26
- SG = No. 8
- mass density (g/cm³) = 5.15
- formation energy (no corrections) (eV per atom) = -0.25

abc: 7.2926 3.6332 8.5233
angles: 90.00 98.80 90.00
Fractional coordinates of all 8 atoms:
Ni: 0.0000 0.0000 0.0000
Ni: 0.5000 0.5000 0.0000
Te: 0.3140 0.0000 0.8453
Te: 0.8140 0.5000 0.8453
Br: 0.1373 0.5000 0.1658
Br: 0.4556 0.0000 0.5806
Br: 0.6373 0.0000 0.1658
Br: 0.9556 0.5000 0.5806

***

[6]
Entry from Alexandria: a geometry-optimized MgNpPb2 structure (GGA-PBE).

Output
- calculated total energy (eV per formula unit) = -20.87
- SG = No. 166
- formation energy (eV per formula unit) = 1.1
- mass density (g/cm³) = 9.92

abc: 3.3542 3.3542 34.8218
angles: 90.00 90.00 120.00
Fractional coordinates of all 12 atoms:
Mg: 0.0000 0.0000 0.0000
Mg: 0.3333 0.6667 0.6667
Mg: 0.6667 0.3333 0.3333
Np: 0.0000 0.0000 0.5000
Np: 0.3333 0.6667 0.1667
Np: 0.6667 0.3333 0.8333
Pb: 0.0000 0.0000 0.0854
Pb: 0.0000 0.0000 0.9146
Pb: 0.3333 0.6667 0.5813
Pb: 0.3333 0.6667 0.7521
Pb: 0.6667 0.3333 0.2479
Pb: 0.6667 0.3333 0.4187

***

[7]
Entry from Alexandria: a geometry-optimized Li2La2Ga structure (GGA-PBE).

Output
- calculated total energy (eV per formula unit) = -17.67
- SG = No. 12
- formation energy (eV per formula unit) = -1.0
- mass density (g/cm³) = 4.49

abc: 5.3762 5.3724 9.6428
angles: 90.00 106.11 90.00
Fractional coordinates of all 10 atoms:
Li: 0.2182 0.0000 0.4368
Li: 0.2818 0.5000 0.5632
Li: 0.7182 0.5000 0.4368
Li: 0.7818 0.0000 0.5632
La: 0.0963 0.5000 0.1921
La: 0.4037 0.0000 0.8079
La: 0.5963 0.0000 0.1921
La: 0.9037 0.5000 0.8079
Ga: 0.0000 0.0000 0.0000
Ga: 0.5000 0.5000 0.0000

***

[8]
Entry from Alexandria: a geometry-optimized Dy2ThSe structure (GGA-PBE).

Output
- calculated total energy (eV per formula unit) = -22.93
- SG = No. 123
- mass density (g/cm³) = 9.61
- formation energy (no corrections) (eV per atom) = -0.70

abc: 3.6066 3.6066 8.4468
angles: 90.00 90.00 90.00
Fractional coordinates of all 4 atoms:
Dy: 0.0000 0.0000 0.2116
Dy: 0.0000 0.0000 0.7884
Th: 0.5000 0.5000 0.5000
Se: 0.5000 0.5000 0.0000

***

- Among the records above, which one has the lowest calculated total energy?
  Mo4Pt